Crystalline La2PtCl at its relaxed geometry, computed with GGA-PBE.

a b c (Å): 3.515 3.512 8.195
angles (deg): 90.00 90.00 90.00
Positions (direct):
Cl (0.500, 0.500, 0.750)
La (0.000, 0.000, 0.022)
La (0.000, 0.000, 0.478)
Pt (0.500, 0.500, 0.250)

Results
ΔE_f (raw) (meV/atom): -1254
Space group: P4/mmm
Raw total energy (eV per atom): -5.690
Excess energy over the best structure of this formula in the dataset (eV/atom): 0.190